[1]
! ZnFePd4 PBE-GGA relaxed; values from VASP
! **E_form**: -0.25 eV/atom
&SYSTEM
  ibrav = 0, nat = 6, ntyp = 3
/
ATOMIC_SPECIES
Zn 65.41 Zn.upf
Fe 55.84 Fe.upf
Pd 106.42 Pd.upf
CELL_PARAMETERS angstrom
2.804 0.000 0.000
0.000 2.804 0.000
0.000 0.000 11.120
ATOMIC_POSITIONS crystal
Zn 0.000 0.000 0.000
Fe 0.500 0.500 0.500
Pd 0.000 0.000 0.341
Pd 0.000 0.000 0.659
Pd 0.500 0.500 0.157
Pd 0.500 0.500 0.843



[2]
! ZnFe2Pd2 PBE-GGA relaxed; values from VASP
! **E_form**: 0.32 eV/atom
&SYSTEM
  ibrav = 0, nat = 10, ntyp = 3
/
ATOMIC_SPECIES
Zn 65.41 Zn.upf
Fe 55.84 Fe.upf
Pd 106.42 Pd.upf
CELL_PARAMETERS angstrom
3.779 0.000 0.000
0.000 3.779 0.000
0.000 0.000 11.178
ATOMIC_POSITIONS crystal
Zn 0.000 0.000 0.000
Zn 0.500 0.500 0.500
Fe 0.000 0.000 0.402
Fe 0.000 0.000 0.598
Fe 0.500 0.500 0.098
Fe 0.500 0.500 0.902
Pd 0.000 0.500 0.250
Pd 0.000 0.500 0.750
Pd 0.500 0.000 0.250
Pd 0.500 0.000 0.750



[3]
! Zn2FePd2 PBE-GGA relaxed; values from VASP
! **E_form**: -0.14 eV/atom
&SYSTEM
  ibrav = 0, nat = 10, ntyp = 3
/
ATOMIC_SPECIES
Zn 65.41 Zn.upf
Fe 55.84 Fe.upf
Pd 106.42 Pd.upf
CELL_PARAMETERS angstrom
7.227 0.000 0.000
0.000 7.227 0.000
0.000 0.000 2.844
ATOMIC_POSITIONS crystal
Zn 0.127 0.373 0.000
Zn 0.373 0.873 0.000
Zn 0.627 0.127 0.000
Zn 0.873 0.627 0.000
Fe 0.000 0.000 0.000
Fe 0.500 0.500 0.000
Pd 0.172 0.672 0.500
Pd 0.328 0.172 0.500
Pd 0.672 0.828 0.500
Pd 0.828 0.328 0.500



[4]
! ZrFe2Pd PBE-GGA relaxed; values from VASP
! **E_form**: 0.22 eV/atom
&SYSTEM
  ibrav = 0, nat = 16, ntyp = 3
/
ATOMIC_SPECIES
Zr 91.22 Zr.upf
Fe 55.84 Fe.upf
Pd 106.42 Pd.upf
CELL_PARAMETERS angstrom
3.750 0.000 0.000
0.000 3.750 0.000
0.000 0.000 18.742
ATOMIC_POSITIONS crystal
Zr 0.000 0.000 0.000
Zr 0.000 0.500 0.250
Zr 0.500 0.000 0.750
Zr 0.500 0.500 0.500
Fe 0.241 0.250 0.625
Fe 0.250 0.741 0.875
Fe 0.250 0.759 0.375
Fe 0.259 0.250 0.125
Fe 0.741 0.750 0.125
Fe 0.750 0.241 0.375
Fe 0.750 0.259 0.875
Fe 0.759 0.750 0.625
Pd 0.000 0.000 0.500
Pd 0.000 0.500 0.750
Pd 0.500 0.000 0.250
Pd 0.500 0.500 0.000



[5]
! Zr6FePd2 PBE-GGA relaxed; values from VASP
! **E_form**: -0.33 eV/atom
&SYSTEM
  ibrav = 0, nat = 9, ntyp = 3
/
ATOMIC_SPECIES
Zr 91.22 Zr.upf
Fe 55.84 Fe.upf
Pd 106.42 Pd.upf
CELL_PARAMETERS angstrom
3.318 0.000 0.000
0.000 6.823 3.934
0.000 -6.823 3.934
ATOMIC_POSITIONS crystal
Zr 0.000 0.000 0.000
Zr 0.000 0.511 0.756
Zr 0.000 0.756 0.511
Zr 0.500 0.159 0.757
Zr 0.500 0.352 0.352
Zr 0.500 0.757 0.159
Fe 0.500 0.755 0.755
Pd 0.000 0.090 0.423
Pd 0.000 0.423 0.090



[6]
! ZrFe2Pd PBE-GGA relaxed; values from VASP
! **E_form**: -0.05 eV/atom
&SYSTEM
  ibrav = 0, nat = 16, ntyp = 3
/
ATOMIC_SPECIES
Zr 91.22 Zr.upf
Fe 55.84 Fe.upf
Pd 106.42 Pd.upf
CELL_PARAMETERS angstrom
6.240 0.000 0.000
0.000 6.240 0.000
0.000 0.000 6.240
ATOMIC_POSITIONS crystal
Zr 0.000 0.000 0.000
Zr 0.000 0.500 0.500
Zr 0.500 0.000 0.500
Zr 0.500 0.500 0.000
Fe 0.250 0.250 0.250
Fe 0.250 0.250 0.750
Fe 0.250 0.750 0.250
Fe 0.250 0.750 0.750
Fe 0.750 0.250 0.250
Fe 0.750 0.250 0.750
Fe 0.750 0.750 0.250
Fe 0.750 0.750 0.750
Pd 0.000 0.000 0.500
Pd 0.000 0.500 0.000
Pd 0.500 0.000 0.000
Pd 0.500 0.500 0.500



[7]
! ZrFePd2 PBE-GGA relaxed; values from VASP
! **E_form**: -0.46 eV/atom
&SYSTEM
  ibrav = 0, nat = 4, ntyp = 3
/
ATOMIC_SPECIES
Zr 91.22 Zr.upf
Fe 55.84 Fe.upf
Pd 106.42 Pd.upf
CELL_PARAMETERS angstrom
3.957 0.000 0.000
0.000 3.957 0.000
0.000 0.000 4.015
ATOMIC_POSITIONS crystal
Zr 0.000 0.000 0.000
Fe 0.500 0.500 0.000
Pd 0.000 0.500 0.500
Pd 0.500 0.000 0.500



[8]
! ZrFe2Pd2 PBE-GGA relaxed; values from VASP
! **E_form**: -0.11 eV/atom
&SYSTEM
  ibrav = 0, nat = 10, ntyp = 3
/
ATOMIC_SPECIES
Zr 91.22 Zr.upf
Fe 55.84 Fe.upf
Pd 106.42 Pd.upf
CELL_PARAMETERS angstrom
7.370 0.000 0.000
0.000 7.370 0.000
0.000 0.000 2.842
ATOMIC_POSITIONS crystal
Zr 0.000 0.000 0.000
Zr 0.500 0.500 0.000
Fe 0.116 0.384 0.000
Fe 0.384 0.884 0.000
Fe 0.616 0.116 0.000
Fe 0.884 0.616 0.000
Pd 0.178 0.678 0.500
Pd 0.322 0.178 0.500
Pd 0.678 0.822 0.500
Pd 0.822 0.322 0.500



[9]
! ZrFe4Pd PBE-GGA relaxed; values from VASP
! **E_form**: -0.20 eV/atom
&SYSTEM
  ibrav = 0, nat = 6, ntyp = 3
/
ATOMIC_SPECIES
Zr 91.22 Zr.upf
Fe 55.84 Fe.upf
Pd 106.42 Pd.upf
CELL_PARAMETERS angstrom
0.000 3.458 3.458
3.458 0.000 3.458
3.458 3.458 0.000
ATOMIC_POSITIONS crystal
Zr 0.000 0.000 0.000
Fe 0.123 0.626 0.626
Fe 0.626 0.123 0.626
Fe 0.626 0.626 0.123
Fe 0.626 0.626 0.626
Pd 0.250 0.250 0.250



[10]
! Zr3FePd12 PBE-GGA relaxed; values from VASP
! **E_form**: -0.64 eV/atom
&SYSTEM
  ibrav = 0, nat = 16, ntyp = 3
/
ATOMIC_SPECIES
Zr 91.22 Zr.upf
Fe 55.84 Fe.upf
Pd 106.42 Pd.upf
CELL_PARAMETERS angstrom
4.010 0.000 0.000
0.000 4.010 0.000
0.000 0.000 15.946
ATOMIC_POSITIONS crystal
Zr 0.000 0.000 0.000
Zr 0.000 0.000 0.257
Zr 0.000 0.000 0.743
Fe 0.000 0.000 0.500
Pd 0.000 0.500 0.126
Pd 0.000 0.500 0.380
Pd 0.000 0.500 0.620
Pd 0.000 0.500 0.874
Pd 0.500 0.000 0.126
Pd 0.500 0.000 0.380
Pd 0.500 0.000 0.620
Pd 0.500 0.000 0.874
Pd 0.500 0.500 0.000
Pd 0.500 0.500 0.253
Pd 0.500 0.500 0.500
Pd 0.500 0.500 0.747



[11]
! ZrFePd PBE-GGA relaxed; values from VASP
! **E_form**: 0.14 eV/atom
&SYSTEM
  ibrav = 0, nat = 6, ntyp = 3
/
ATOMIC_SPECIES
Zr 91.22 Zr.upf
Fe 55.84 Fe.upf
Pd 106.42 Pd.upf
CELL_PARAMETERS angstrom
2.240 1.293 6.078
-2.240 1.293 6.078
0.000 -2.587 6.078
ATOMIC_POSITIONS crystal
Zr 0.083 0.083 0.083
Zr 0.917 0.917 0.917
Fe 0.219 0.219 0.219
Fe 0.781 0.781 0.781
Pd 0.363 0.363 0.363
Pd 0.637 0.637 0.637



[12]
! Zr5Fe2Pd PBE-GGA relaxed; values from VASP
! **E_form**: -0.26 eV/atom
&SYSTEM
  ibrav = 0, nat = 16, ntyp = 3
/
ATOMIC_SPECIES
Zr 91.22 Zr.upf
Fe 55.84 Fe.upf
Pd 106.42 Pd.upf
CELL_PARAMETERS angstrom
-3.610 3.610 5.783
3.610 -3.610 5.783
3.610 3.610 -5.783
ATOMIC_POSITIONS crystal
Zr 0.000 0.000 0.000
Zr 0.017 0.517 0.815
Zr 0.202 0.017 0.500
Zr 0.298 0.798 0.815
Zr 0.483 0.298 0.500
Zr 0.500 0.500 0.000
Zr 0.517 0.702 0.500
Zr 0.702 0.202 0.185
Zr 0.798 0.983 0.500
Zr 0.983 0.483 0.185
Fe 0.135 0.365 0.500
Fe 0.365 0.865 0.229
Fe 0.635 0.135 0.771
Fe 0.865 0.635 0.500
Pd 0.250 0.250 0.000
Pd 0.750 0.750 0.000